No. 1
{
  "formula": "Y2TaTe",
  "functional": "PBE",
  "state": "optimized geometry",
  "cell": [[3.5867, 0.0000, 0.0000], [0.0000, 5.7147, 0.0221], [0.0000, 3.8369, 4.9407]],
  "species": ["Ta", "Te", "Y", "Y"],
  "fractional_positions": [[0.5000, 0.5000, 0.5000], [0.0000, 0.0000, 0.5000], [0.0000, 0.0000, 0.0000], [0.5000, 0.5000, 0.0000]],
  "e_form_raw_ev_per_atom": 0.0330
}



No. 2
{
  "formula": "ZrZn2Te",
  "functional": "PBE",
  "state": "optimized geometry",
  "cell": [[-2.1348, 3.3540, -0.8741], [-2.2005, -0.3556, 4.0101], [2.9865, 2.3830, 1.8501]],
  "species": ["Te", "Zn", "Zn", "Zr"],
  "fractional_positions": [[0.0000, 0.5000, 0.5000], [0.0000, 0.0000, 0.0000], [0.5000, 0.5000, 0.0000], [0.5000, 0.0000, 0.5000]],
  "e_form_raw_ev_per_atom": -0.1482
}



No. 3
{
  "formula": "CsSnSe2I",
  "functional": "PBE",
  "state": "optimized geometry",
  "cell": [[5.4159, 0.0000, 0.0000], [0.0000, 6.3689, 0.0000], [0.0000, 0.0000, 5.4159]],
  "species": ["Cs", "I", "Sn", "Se", "Se"],
  "fractional_positions": [[0.5000, 0.5000, 0.5000], [0.0000, 0.5000, 0.0000], [0.0000, 0.0000, 0.0000], [0.0000, 0.0000, 0.5000], [0.5000, 0.0000, 0.0000]],
  "e_form_raw_ev_per_atom": -0.5502
}



No. 4
{
  "formula": "BeMoPIr",
  "functional": "PBE",
  "state": "optimized geometry",
  "cell": [[3.4272, 0.0000, 0.0000], [0.0000, 2.9480, 0.0000], [0.0000, 0.0000, 5.1392]],
  "species": ["P", "Mo", "Ir", "Be"],
  "fractional_positions": [[0.5000, 0.5000, 0.3035], [0.0000, 0.0000, 0.4857], [0.0000, 0.5000, 0.9772], [0.5000, 0.0000, 0.8341]],
  "polymorph_energy_mev_per_atom": 68.4,
  "ef_ev_per_atom": -0.407
}



No. 5
{
  "formula": "TlGeSbI2",
  "functional": "PBE",
  "state": "optimized geometry",
  "cell": [[5.9146, 0.0000, 0.0000], [0.0000, 5.9146, 0.0000], [0.0000, 0.0000, 5.6215]],
  "species": ["I", "I", "Sb", "Tl", "Ge"],
  "fractional_positions": [[0.0000, 0.5000, 0.0000], [0.5000, 0.0000, 0.0000], [0.0000, 0.0000, 0.5000], [0.5000, 0.5000, 0.5000], [0.0000, 0.0000, 0.0000]],
  "e_form_raw_ev_per_atom": 0.0706,
  "polymorph_energy_mev_per_atom": 0.0
}



No. 6
{
  "formula": "Mg2Co2Mo",
  "functional": "PBE",
  "state": "optimized geometry",
  "cell": [[-0.7377, 4.2957, 4.1870], [0.4220, -4.1709, 4.3536], [4.1909, 0.5770, 0.1465]],
  "species": ["Mo", "Mo", "Co", "Co", "Co", "Co", "Mg", "Mg", "Mg", "Mg"],
  "fractional_positions": [[0.0000, 0.0000, 0.0000], [0.5000, 0.5000, 0.0000], [0.3721, 0.8721, 0.0000], [0.8721, 0.6279, 0.0000], [0.6279, 0.1279, 0.0000], [0.1279, 0.3721, 0.0000], [0.1778, 0.6778, 0.5000], [0.6778, 0.8222, 0.5000], [0.8222, 0.3222, 0.5000], [0.3222, 0.1778, 0.5000]],
  "ef_ev_per_atom": 0.186
}



No. 7
{
  "formula": "Sm2Dy3Tc2",
  "functional": "PBE",
  "state": "optimized geometry",
  "cell": [[0.4469, 1.3547, -3.6620], [-1.3754, -6.1727, -0.3422], [-7.3620, 3.5151, 2.5106]],
  "species": ["Sm", "Sm", "Dy", "Dy", "Dy", "Tc", "Tc"],
  "fractional_positions": [[0.6478, 0.4855, 0.8101], [0.3522, 0.5145, 0.1899], [0.5000, 0.0000, 0.0000], [0.1970, 0.8225, 0.5716], [0.8030, 0.1775, 0.4284], [0.0411, 0.8668, 0.2154], [0.9589, 0.1332, 0.7846]],
  "ef_ev_per_atom": -0.035
}



No. 8
{
  "formula": "SrLi2AlF8",
  "functional": "PBE",
  "state": "optimized geometry",
  "cell": [[4.5945, 0.0444, -0.0113], [0.0858, 4.6438, 0.1977], [-0.0128, 0.3144, 6.9857]],
  "species": ["Sr", "Li", "Li", "Al", "F", "F", "F", "F", "F", "F", "F", "F"],
  "fractional_positions": [[0.0000, 0.0000, 0.5000], [0.5141, 0.5219, 0.8101], [0.4859, 0.4781, 0.1899], [0.0000, 0.0000, 0.0000], [0.1684, 0.7741, 0.2039], [0.7014, 0.7474, 0.0041], [0.8268, 0.2045, 0.1819], [0.8316, 0.2259, 0.7961], [0.2986, 0.2526, 0.9959], [0.1732, 0.7955, 0.8181], [0.5472, 0.7190, 0.5355], [0.4528, 0.2810, 0.4645]],
  "e_form_raw_ev_per_atom": -3.1007
}



No. 9
{
  "formula": "KMnCo",
  "functional": "PBE",
  "state": "optimized geometry",
  "cell": [[6.4681, 0.0025, -0.0044], [4.7342, 4.4071, 0.0044], [-5.3488, -2.8460, 2.2643]],
  "species": ["Co", "K", "Mn"],
  "fractional_positions": [[0.0641, 0.0641, 0.0000], [0.3348, 0.3348, 0.0000], [0.6011, 0.6011, 0.0000]],
  "polymorph_energy_mev_per_atom": 0.0,
  "ef_ev_per_atom": 0.725
}



No. 10
{
  "formula": "Cu2MoW",
  "functional": "PBE",
  "state": "optimized geometry",
  "cell": [[-1.5149, -1.1795, -1.8288], [1.7673, -1.8342, 0.7369], [-5.2629, -2.6362, 6.0597]],
  "species": ["Cu", "Cu", "Mo", "W"],
  "fractional_positions": [[0.0000, 0.0000, 0.0107], [0.5000, 0.5000, 0.2386], [0.0000, 0.0000, 0.4907], [0.5000, 0.5000, 0.7599]],
  "polymorph_energy_mev_per_atom": 0.0,
  "ef_ev_per_atom": 0.186
}



No. 11
{
  "formula": "Pr2PaSnO8",
  "functional": "PBE",
  "state": "optimized geometry",
  "cell": [[3.9130, -0.1743, -0.0018], [-0.1230, 5.5891, -0.0066], [0.0040, 0.0080, 7.6426]],
  "species": ["Pr", "Pr", "Pa", "Sn", "O", "O", "O", "O", "O", "O", "O", "O"],
  "fractional_positions": [[0.5000, 0.5000, 0.7538], [0.5000, 0.5000, 0.2462], [0.0000, 0.0000, 0.5000], [0.0000, 0.0000, 0.0000], [0.0330, 0.7728, 0.2477], [0.5612, 0.7752, 0.0000], [0.9670, 0.2272, 0.2477], [0.9670, 0.2272, 0.7523], [0.4388, 0.2248, 0.0000], [0.0330, 0.7728, 0.7523], [0.5239, 0.7685, 0.5000], [0.4761, 0.2315, 0.5000]],
  "e_form_raw_ev_per_atom": -2.7417
}



No. 12
{
  "formula": "CdGa3Ag3",
  "functional": "PBE",
  "state": "optimized geometry",
  "cell": [[-0.0580, -1.5950, 7.5346], [3.9002, -5.9913, 2.7053], [5.6461, 0.6364, 4.1097]],
  "species": ["Cd", "Cd", "Ga", "Ga", "Ga", "Ga", "Ga", "Ga", "Ag", "Ag", "Ag", "Ag", "Ag", "Ag"],
  "fractional_positions": [[0.6663, 0.6662, 0.0024], [0.3337, 0.3338, 0.9976], [0.3269, 0.7755, 0.8404], [0.7739, 0.0587, 0.8384], [0.0590, 0.3263, 0.8391], [0.9410, 0.6737, 0.1609], [0.2261, 0.9413, 0.1616], [0.6731, 0.2245, 0.1596], [0.2468, 0.5055, 0.3533], [0.8915, 0.2488, 0.3526], [0.5044, 0.8933, 0.3548], [0.4956, 0.1067, 0.6452], [0.1085, 0.7512, 0.6474], [0.7532, 0.4945, 0.6467]],
  "polymorph_energy_mev_per_atom": 0.0,
  "ef_ev_per_atom": 0.058
}



Fermi-level density of states, respectively: 1.137, 0.502, 0.491, 0.233, 0.532, 0.616, 0.824, 0.540, 0.700, 0.529, 0.803, 0.320 states/eV per atom.
Uncorrected energy, respectively: -6.948, -3.708, -3.225, -7.614, -2.771, -5.460, -6.317, -5.119, -5.066, -7.808, -7.969, -2.592 eV per atom.